# 1
## BeSb2TeBr (PBE)

Data for a relaxed structure of BeSb2TeBr.

a b c (Å): 5.099 5.099 4.907
angles (deg): 90.00 90.00 90.00
Fractional positions:
Be: 0.000 0.000 0.000
Sb: 0.000 0.500 0.000
Sb: 0.500 0.000 0.000
Te: 0.000 0.000 0.500
Br: 0.500 0.500 0.500

Computed properties:
* SG: P4/mmm
* E_form (uncorrected): 360 meV per atom
* polymorph energy (0 for the lowest one): 0.000 eV/atom
* density of states at the Fermi level: 3.2 states/eV/cell
* M_tot: 0.00 μB/f.u.

---

# 2
## BeSb2TeBr (PBE)

Data for a relaxed structure of BeSb2TeBr.

a b c (Å): 5.481 5.481 5.770
angles (deg): 90.00 90.00 90.00
Fractional positions:
Be: 0.000 0.000 0.000
Sb: 0.000 0.500 0.500
Sb: 0.500 0.000 0.500
Te: 0.500 0.500 0.000
Br: 0.500 0.500 0.500

Computed properties:
* SG: P4/mmm
* E_form (uncorrected): 1410 meV per atom
* polymorph energy (0 for the lowest one): 1.050 eV/atom
* density of states at the Fermi level: 7.1 states/eV/cell
* M_tot: 0.00 μB/f.u.

---

# 3
## TiBeSb2Br (PBE)

Data for a relaxed structure of TiBeSb2Br.

a b c (Å): 5.354 5.354 4.908
angles (deg): 90.00 90.00 90.00
Fractional positions:
Ti: 0.000 0.000 0.000
Be: 0.500 0.500 0.500
Sb: 0.000 0.500 0.000
Sb: 0.500 0.000 0.000
Br: 0.000 0.000 0.500

Computed properties:
* SG: P4/mmm
* E_form (uncorrected): 503 meV per atom
* density of states at the Fermi level: 3.9 states/eV/cell
* M_tot: 0.00 μB/f.u.

---

# 4
## Be2VSbBr (PBE)

Data for a relaxed structure of Be2VSbBr.

a b c (Å): 4.167 4.167 5.897
angles (deg): 90.00 90.00 90.00
Fractional positions:
Be: 0.000 0.500 0.000
Be: 0.500 0.000 0.000
V: 0.000 0.000 0.500
Sb: 0.500 0.500 0.500
Br: 0.500 0.500 0.000

Computed properties:
* SG: P4/mmm
* E_form (uncorrected): 1573 meV per atom
* density of states at the Fermi level: 7.0 states/eV/cell
* M_tot: 0.48 μB/f.u.

---

# 5
## BeSb2WBr (PBE)

Data for a relaxed structure of BeSb2WBr.

a b c (Å): 5.275 5.275 5.132
angles (deg): 90.00 90.00 90.00
Fractional positions:
Be: 0.000 0.000 0.000
Sb: 0.000 0.500 0.500
Sb: 0.500 0.000 0.500
W: 0.500 0.500 0.500
Br: 0.500 0.500 0.000

Computed properties:
* SG: P4/mmm
* E_form (uncorrected): 1055 meV per atom
* density of states at the Fermi level: 2.9 states/eV/cell
* M_tot: 0.00 μB/f.u.

---

# 6
## ScBeBr2 (PBE)

Data for a relaxed structure of ScBeBr2.

a b c (Å): 4.628 4.628 3.800
angles (deg): 90.00 90.00 90.00
Fractional positions:
Sc: 0.000 0.000 0.000
Be: 0.500 0.500 0.000
Br: 0.000 0.500 0.500
Br: 0.500 0.000 0.500

Computed properties:
* SG: P4/mmm
* E_form (uncorrected): 23 meV per atom
* polymorph energy (0 for the lowest one): 0.624 eV/atom
* density of states at the Fermi level: 2.4 states/eV/cell
* M_tot: 0.03 μB/f.u.

---

# 7
## Sc2BeBr (PBE)

Data for a relaxed structure of Sc2BeBr.

a b c (Å): 4.979 4.979 3.218
angles (deg): 99.31 99.31 92.27
Fractional positions:
Sc: 0.000 0.500 0.000
Sc: 0.500 0.000 0.000
Be: 0.000 0.000 0.500
Br: 0.500 0.500 0.500

Computed properties:
* SG: C2/m
* E_form (uncorrected): -120 meV per atom
* polymorph energy (0 for the lowest one): 0.309 eV/atom
* density of states at the Fermi level: 3.4 states/eV/cell
* M_tot: 0.06 μB/f.u.

---

# 8
## ScBe3Br (PBE)

Data for a relaxed structure of ScBe3Br.

a b c (Å): 5.182 5.182 5.182
angles (deg): 90.00 90.00 90.00
Fractional positions:
Sc: 0.000 0.000 0.000
Be: 0.000 0.000 0.500
Be: 0.000 0.500 0.000
Be: 0.500 0.000 0.000
Br: 0.500 0.500 0.500

Computed properties:
* SG: Pm-3m
* E_form (uncorrected): 1640 meV per atom
* polymorph energy (0 for the lowest one): 0.432 eV/atom
* density of states at the Fermi level: 2.7 states/eV/cell
* M_tot: 0.00 μB/f.u.